A relaxed structure of TeRhWN2, computed with PBE.

Computed properties:
Space group: P4/mmm
DFT total energy, eV per atom: -6.2720
ΔE_f (raw), eV per atom: 1.747
Energy above the lowest structure with this stoichiometry, meV per atom: 1133.8

```
TeRhWN2
1.0
3.899 0.000 0.000
0.000 3.899 0.000
0.000 0.000 5.760
Te Rh W N
1 1 1 2
Direct
0.000 0.000 0.000
0.000 0.000 0.500
0.500 0.500 0.000
0.000 0.500 0.500
0.500 0.000 0.500
```